Record 1
# AlRe2Au | Alexandria via LeMat-Bulk | GGA-PBE | relaxed
data_AlRe2Au
_chemical_formula_sum 'Al2 Re4 Au2'
_symmetry_space_group_name_H-M 'I m m 2'
_symmetry_Int_Tables_number 44
_cell_length_a 3.117
_cell_length_b 4.508
_cell_length_c 8.675
_cell_angle_alpha 90.00
_cell_angle_beta 90.00
_cell_angle_gamma 90.00
loop_
_symmetry_equiv_pos_as_xyz
'x,y,z'
'-x,-y,z'
'-x,y,z'
'x,-y,z'
'x+1/2,y+1/2,z+1/2'
'-x+1/2,-y+1/2,z+1/2'
'-x+1/2,y+1/2,z+1/2'
'x+1/2,-y+1/2,z+1/2'
loop_
_atom_site_label
_atom_site_fract_x
_atom_site_fract_y
_atom_site_fract_z
Al1 0.000 0.000 0.000
Re1 0.000 0.000 0.510
Re2 0.000 0.500 0.260
Au1 0.000 0.500 0.735
# Energy relative to the elements = 0.20 eV per atom
# Total magnetic moment = 0.00 μB per formula unit

---

Record 2
# AlRe2Au | Alexandria via LeMat-Bulk | GGA-PBE | relaxed
data_AlRe2Au
_chemical_formula_sum 'Al4 Re8 Au4'
_symmetry_space_group_name_H-M 'I -4 2 d'
_symmetry_Int_Tables_number 122
_symmetry_space_group_name_Hall 'I -4 2bw'
_cell_length_a 7.243
_cell_length_b 7.243
_cell_length_c 5.129
_cell_angle_alpha 90.00
_cell_angle_beta 90.00
_cell_angle_gamma 90.00
loop_
_atom_site_label
_atom_site_fract_x
_atom_site_fract_y
_atom_site_fract_z
Al1 0.000 0.000 0.000
Re1 0.223 0.750 0.125
Au1 0.000 0.000 0.500
# Energy relative to the elements = 0.84 eV per atom
# Total magnetic moment = 0.00 μB per formula unit

---

Record 3
# Al2ReAu | Alexandria via LeMat-Bulk | GGA-PBE | relaxed
data_Al2ReAu
_chemical_formula_sum 'Al2 Re1 Au1'
_symmetry_space_group_name_H-M 'P m m 2'
_symmetry_Int_Tables_number 25
_cell_length_a 2.780
_cell_length_b 4.116
_cell_length_c 5.460
_cell_angle_alpha 90.00
_cell_angle_beta 90.00
_cell_angle_gamma 90.00
loop_
_symmetry_equiv_pos_as_xyz
'x,y,z'
'-x,-y,z'
'-x,y,z'
'x,-y,z'
loop_
_atom_site_label
_atom_site_fract_x
_atom_site_fract_y
_atom_site_fract_z
Al1 0.000 0.000 0.000
Al2 0.500 0.500 0.302
Re1 0.500 0.500 0.827
Au1 0.000 0.000 0.502
# Energy relative to the elements = -0.09 eV per atom
# Total magnetic moment = 0.00 μB per formula unit

---

Record 4
# AlRe3Au | Alexandria via LeMat-Bulk | GGA-PBE | relaxed
data_AlRe3Au
_chemical_formula_sum 'Al1 Re3 Au1'
_symmetry_space_group_name_H-M 'P m -3 m'
_symmetry_Int_Tables_number 221
_symmetry_space_group_name_Hall '-P 4 2 3'
_cell_length_a 4.834
_cell_length_b 4.834
_cell_length_c 4.834
_cell_angle_alpha 90.00
_cell_angle_beta 90.00
_cell_angle_gamma 90.00
loop_
_atom_site_label
_atom_site_fract_x
_atom_site_fract_y
_atom_site_fract_z
Al1 0.000 0.000 0.000
Re1 0.000 0.500 0.500
Au1 0.500 0.500 0.500
# Energy relative to the elements = 2.88 eV per atom
# Total magnetic moment = 4.45 μB per formula unit

---

Q: The highest total magnetic moment belongs to which entry?
A: AlRe3Au

---

Q: Number 3 is which compound?
A: Al2ReAu

---

Q: Which formula does entry 4 have?
A: AlRe3Au

---

Q: What is the total magnetic moment in the fourth record?
A: 4.45 μB per formula unit